MgScHg2 after structural relaxation, computed with PBE.

## Properties
DFT formation energy ... -5.577 kcal/mol of atoms
Magnetization ... 0.00 μB/f.u.

a = 9.1415 Å, b = 3.4151 Å, c = 5.9739 Å
α = 90.00°, β = 102.42°, γ = 90.00°
Closest atoms and distances in Å follow each position.
Space group C2/m (No. 12)
Symmetry-distinct sites (fractional):
1 Mg 0.0000 0.0000 0.0000 x2  6 Hg 2.98-2.99
2 Sc 0.0000 0.5000 0.5000 x2  6 Hg 2.98-3.00
3 Hg 0.2488 0.0000 0.7505 x4  3 Mg 2.98-2.99, 3 Sc 2.98-3.00

Ca2ScTl after structural relaxation, computed with PBE.

## Properties
DFT formation energy ... -1.278 kcal/mol of atoms
Magnetization ... 0.00 μB/f.u.
E above lowest polymorph ... 5.8 kJ/mol of atoms

a = 3.5782 Å, b = 4.8912 Å, c = 6.8361 Å
α = 90.00°, β = 90.27°, γ = 90.00°
Closest atoms and distances in Å follow each position.
Space group P2/m (No. 10)
Symmetry-distinct sites (fractional):
1 Ca 0.9996 0.0000 0.2417 x2  4 Ca 3.30-3.58, 4 Tl 3.45-3.46, 4 Sc 3.50-3.51
2 Sc 0.5000 0.5000 0.5000 x1  2 Tl 3.42, 8 Ca 3.50-3.51, 2 Sc 3.58
3 Tl 0.5000 0.5000 0.0000 x1  2 Sc 3.42, 8 Ca 3.45-3.46, 2 Tl 3.58

SiTc2Ni after structural relaxation, computed with PBE.

## Properties
Magnetization ... 0.00 μB/f.u.
Formation energy without anion corrections ... -0.072 eV/atom

a = 3.0094 Å, b = 4.2348 Å, c = 8.4181 Å
α = 90.00°, β = 90.00°, γ = 90.00°
Closest atoms and distances in Å follow each position.
Space group Immm (No. 71)
Symmetry-distinct sites (fractional):
1 Si 0.0000 0.0000 0.0000 x2  4 Tc 2.42, 4 Ni 2.60
2 Tc 0.0000 0.5000 0.2744 x4  2 Si 2.42, 4 Tc 2.63
3 Ni 0.0000 0.0000 0.5000 x2  4 Si 2.60, 8 Tc 2.76-2.84

Tb4Dy3Te8 after structural relaxation, computed with PBE.

## Properties
Magnetization ... 0.00 μB/f.u.
Formation energy without anion corrections ... -1.375 eV/atom

a = 12.2905 Å, b = 12.2920 Å, c = 8.6913 Å
α = 90.00°, β = 134.99°, γ = 90.00°
Closest atoms and distances in Å follow each position.
Space group C2/m (No. 12)
Symmetry-distinct sites (fractional):
1 Tb 0.0000 0.0000 0.0000 x2  6 Te 3.08
2 Tb 0.0000 0.0000 0.5000 x2  6 Te 3.15
3 Tb 0.2500 0.2500 0.0000 x4  6 Te 3.07
4 Dy 0.0000 0.5000 0.0000 x2  6 Te 3.07
5 Dy 0.2500 0.2500 0.5000 x4  6 Te 3.07
6 Te 0.0000 0.2505 0.0000 x4  3 Dy 3.07, 3 Tb 3.07-3.08
7 Te 0.0000 0.2561 0.5000 x4  2 Dy 3.07, 3 Tb 3.07-3.15
8 Te 0.2433 0.5000 0.4990 x4  3 Dy 3.07, 2 Tb 3.08-3.15
9 Te 0.2434 0.5000 0.9878 x4  1 Dy 3.07, 4 Tb 3.07-3.15

NaVZn after structural relaxation, computed with PBE.

## Properties
DFT formation energy ... 7.289 kcal/mol of atoms
Magnetization ... 0.00 μB/f.u.
E above lowest polymorph ... 17.4 kJ/mol of atoms

a = 2.7954 Å, b = 5.6189 Å, c = 7.7516 Å
α = 109.42°, β = 96.99°, γ = 99.03°
Closest atoms and distances in Å follow each position.
Space group P-1 (No. 2)
Symmetry-distinct sites (fractional):
1 Na 0.2012 0.1969 0.3941 x2  2 Na 2.80, 2 V 3.12
2 V 0.3894 0.1621 0.9994 x2  1 V 2.02
3 Zn 0.0979 0.5988 0.1995 x2  4 V 2.73-2.75, 3 Zn 2.80-2.87

LiMg2VCu after structural relaxation, computed with PBE.

## Properties
DFT formation energy ... 11.572 kcal/mol of atoms
Magnetization ... 3.22 μB/f.u.

a = 4.8724 Å, b = 4.8724 Å, c = 4.7388 Å
α = 90.00°, β = 90.00°, γ = 90.00°
Closest atoms and distances in Å follow each position.
Space group P4/mmm (No. 123)
Symmetry-distinct sites (fractional):
1 Li 0.0000 0.0000 0.0000 x1  8 Mg 3.40, 4 V 3.45
2 Mg 0.0000 0.5000 0.5000 x2  2 Cu 2.44
3 V 0.5000 0.5000 0.0000 x1  2 Cu 2.37
4 Cu 0.5000 0.5000 0.5000 x1  2 V 2.37, 4 Mg 2.44

HfNpRh6 after structural relaxation, computed with PBE.

## Properties
DFT formation energy ... -13.639 kcal/mol of atoms
Magnetization ... 1.08 μB/f.u.

a = 3.9772 Å, b = 3.9772 Å, c = 7.9681 Å
α = 90.00°, β = 90.00°, γ = 90.00°
Closest atoms and distances in Å follow each position.
Space group P4/mmm (No. 123)
Symmetry-distinct sites (fractional):
1 Hf 0.0000 0.0000 0.0000 x1  12 Rh 2.81
2 Np 0.0000 0.0000 0.5000 x1  12 Rh 2.81-2.82
3 Rh 0.0000 0.5000 0.2499 x4  8 Rh 2.81-2.82, 2 Hf 2.81, 2 Np 2.82
4 Rh 0.5000 0.5000 0.0000 x1  4 Hf 2.81, 8 Rh 2.81
5 Rh 0.5000 0.5000 0.5000 x1  4 Np 2.81, 8 Rh 2.82

Er8GeTe3Se3 after structural relaxation, computed with PBE.

## Properties
Magnetization ... 0.00 μB/f.u.
Formation energy without anion corrections ... -1.291 eV/atom

a = 8.2270 Å, b = 8.2270 Å, c = 20.8086 Å
α = 90.00°, β = 90.00°, γ = 120.00°
Closest atoms and distances in Å follow each position.
Space group R-3m (No. 166, hexagonal axes)
Symmetry-distinct sites (fractional):
1 Er 0.0000 0.0000 0.2382 x6  3 Se 2.80, 3 Te 3.09
2 Er 0.0016 0.5008 0.2407 x18  1 Ge 2.82, 2 Se 2.84, 2 Te 3.05
3 Ge 0.0000 0.0000 0.5000 x3  6 Er 2.82
4 Te 0.0000 0.5000 0.0000 x9  6 Er 3.05-3.09
5 Se 0.0000 0.5000 0.5000 x9  6 Er 2.80-2.84

Sr3SnSe4 after structural relaxation, computed with PBE.

## Properties
Magnetization ... 0.00 μB/f.u.
Formation energy without anion corrections ... -1.654 eV/atom
E above lowest polymorph ... 0.0 kJ/mol of atoms

a = 4.4121 Å, b = 4.4121 Å, c = 12.5270 Å
α = 90.00°, β = 90.00°, γ = 90.00°
Closest atoms and distances in Å follow each position.
Space group P4/mmm (No. 123)
Symmetry-distinct sites (fractional):
1 Sr 0.0000 0.0000 0.0000 x1  6 Se 3.12-3.17
2 Sr 0.5000 0.5000 0.2532 x2  6 Se 3.09-3.17
3 Sn 0.0000 0.0000 0.5000 x1  6 Se 3.09-3.12
4 Se 0.0000 0.0000 0.2532 x2  1 Sn 3.09, 5 Sr 3.12-3.17
5 Se 0.5000 0.5000 0.0000 x1  6 Sr 3.12-3.17
6 Se 0.5000 0.5000 0.5000 x1  2 Sr 3.09, 4 Sn 3.12

LaIr2PtCl after structural relaxation, computed with PBE.

## Properties
Magnetization ... 0.00 μB/f.u.
Formation energy without anion corrections ... 0.462 eV/atom

a = 4.7726 Å, b = 4.7726 Å, c = 5.8192 Å
α = 90.00°, β = 90.00°, γ = 90.00°
Closest atoms and distances in Å follow each position.
Space group P4/mmm (No. 123)
Symmetry-distinct sites (fractional):
1 La 0.0000 0.0000 0.0000 x1  2 Pt 2.91
2 Ir 0.0000 0.5000 0.5000 x2  2 Pt 2.39
3 Pt 0.0000 0.0000 0.5000 x1  4 Ir 2.39
4 Cl 0.5000 0.5000 0.0000 x1  4 La 3.37, 8 Ir 3.76

DyHfPd2 after structural relaxation, computed with PBE.

## Properties
DFT formation energy ... -15.916 kcal/mol of atoms
Magnetization ... 0.00 μB/f.u.
E above lowest polymorph ... 5.4 kJ/mol of atoms

a = 6.8197 Å, b = 6.8197 Å, c = 6.8197 Å
α = 90.00°, β = 90.00°, γ = 90.00°
Closest atoms and distances in Å follow each position.
Space group Fm-3m (No. 225)
Symmetry-distinct sites (fractional):
1 Dy 0.0000 0.0000 0.0000 x4  8 Pd 2.95
2 Hf 0.0000 0.0000 0.5000 x4  8 Pd 2.95
3 Pd 0.2500 0.2500 0.2500 x8  4 Hf 2.95, 4 Dy 2.95

Pr2ScCrSe6 after structural relaxation, computed with PBE.

## Properties
Magnetization ... 3.00 μB/f.u.
Formation energy without anion corrections ... -1.494 eV/atom

a = 6.6893 Å, b = 7.4187 Å, c = 11.8136 Å
α = 90.00°, β = 123.41°, γ = 90.00°
Closest atoms and distances in Å follow each position.
Space group P2_1/c (No. 14)
Symmetry-distinct sites (fractional):
1 Pr 0.2034 0.1064 0.2475 x4  6 Se 2.96-3.11
2 Sc 0.5000 0.0000 0.0000 x2  6 Se 2.67-2.73
3 Cr 0.0000 0.0000 0.5000 x2  6 Se 2.54-2.60
4 Se 0.1121 0.1922 0.9446 x4  1 Cr 2.60, 1 Sc 2.71
5 Se 0.2646 0.6795 0.9452 x4  1 Cr 2.57, 1 Sc 2.73
6 Se 0.3629 0.0236 0.7415 x4  1 Cr 2.54, 1 Sc 2.67